(1)
NaTi3F7: relaxed, PBE-GGA.

Results
**Final energy**: -6.15 eV per atom
**Formation energy from raw total energies**: -2.688 eV/atom
**DOS at the Fermi energy**: 0.8923 states/eV/atom
**Spin magnetization**: 5.8 μB/f.u.
**Space group**: C2/c

Lattice parameters (Å, degrees): 7.4270 7.4270 7.5914 58.66 58.66 59.64
Each line ends with the local moment (μB).
Fractional positions:
Ti: 0.0000 0.0000 0.0000  1.58
Ti: 0.5000 0.0000 0.5000  1.70
Ti: 0.5000 0.0000 0.0000  1.59
Ti: 0.0000 0.5000 0.0000  1.70
Ti: 0.0000 0.0000 0.5000  1.58
Ti: 0.0000 0.5000 0.5000  1.59
F: 0.9641 0.3631 0.3358  0.00
F: 0.6647 0.6446 0.0738  0.01
F: 0.3353 0.3554 0.9262  0.01
F: 0.0359 0.6369 0.6642  0.00
F: 0.6850 0.1417 0.6807  0.01
F: 0.1417 0.6850 0.1807  0.01
F: 0.8711 0.1289 0.2500  0.02
F: 0.3631 0.9641 0.8358  0.00
F: 0.3150 0.8583 0.3193  0.01
F: 0.1289 0.8711 0.7500  0.02
F: 0.6369 0.0359 0.1642  0.00
F: 0.8583 0.3150 0.8193  0.01
F: 0.3554 0.3353 0.4262  0.01
F: 0.6446 0.6647 0.5738  0.01
Na: 0.5000 0.5000 0.0000  0.00
Na: 0.5000 0.5000 0.5000  0.00

(2)
Na3TiF6: relaxed, PBE-GGA.

Results
**Final energy**: -5.31 eV per atom
**ΔE to the lowest computed polymorph**: 8 meV/atom
**Formation energy from raw total energies**: -3.004 eV/atom
**DOS at the Fermi energy**: 0.4451 states/eV/atom
**Spin magnetization**: 1.0 μB/f.u.
**Space group**: C2/m

Lattice parameters (Å, degrees): 5.6598 5.8157 5.8157 60.88 60.53 60.53
Each line ends with the local moment (μB).
Fractional positions:
Ti: 0.5000 0.5000 0.5000  0.91
F: 0.8583 0.2828 0.2828  -0.01
F: 0.3432 0.1876 0.6630  0.01
F: 0.6568 0.8124 0.3370  0.01
F: 0.6568 0.3370 0.8124  0.01
F: 0.1417 0.7172 0.7172  -0.01
F: 0.3432 0.6630 0.1876  0.01
Na: 0.7046 0.7507 0.7507  0.00
Na: 0.2954 0.2493 0.2493  0.00
Na: 0.0000 0.0000 0.0000  0.00